[1]
Material: Li2PaTe4
Method: DFT, GGA-PBE
State: optimized geometry

Lattice parameters (Å, degrees): 7.4517 9.2669 12.9662 90.00 90.00 90.00
Closest atoms and distances in Å follow each position.
Space group Imma (No. 74)
Unique sites:
Li  0.0000  0.2500  0.1586 (multiplicity 4)  4 Te 2.74-2.82
Li  0.2500  0.2500  0.7500 (multiplicity 4)  6 Te 2.94-3.13
Pa  0.0000  0.0000  0.5000 (multiplicity 4)  6 Te 3.01-3.04
Te  0.0000  0.0050  0.7348 (multiplicity 8)  3 Li 2.74-2.94, 1 Pa 3.04
Te  0.2436  0.2500  0.9917 (multiplicity 8)  2 Li 2.82-3.13, 2 Pa 3.01

## Properties
spin magnetization = 0.000 μB per formula unit
uncorrected formation energy = -0.7221 eV/atom


[2]
Material: Rb2As2I7
Method: DFT, GGA-PBE
State: optimized geometry

Lattice parameters (Å, degrees): 11.1818 18.4301 5.3858 90.00 99.26 90.00
Closest atoms and distances in Å follow each position.
Space group C2/m (No. 12)
Unique sites:
Rb  0.0000  0.2136  0.0000 (multiplicity 4)  4 I 3.70-3.80
As  0.2309  0.5000  0.3437 (multiplicity 4)  4 I 2.61-2.89
I  0.0000  0.5000  0.5000 (multiplicity 2)  2 As 2.84
I  0.1357  0.0000  0.2123 (multiplicity 4)  1 As 2.61
I  0.2426  0.3440  0.3068 (multiplicity 8)  1 As 2.89

## Properties
spin magnetization = 0.000 μB per formula unit
uncorrected formation energy = -0.5580 eV/atom


[3]
Material: LaTb2PmPr2
Method: DFT, GGA-PBE
State: optimized geometry

Lattice parameters (Å, degrees): 7.1416 5.8054 10.0215 90.00 90.00 90.00
Closest atoms and distances in Å follow each position.
Space group Pmma (No. 51)
Unique sites:
La  0.0000  0.0000  0.0000 (multiplicity 2)  2 La 3.57, 2 Pr 3.78, 6 Tb 3.79-3.80, 4 Pm 3.80
Tb  0.2500  0.0000  0.3333 (multiplicity 2)  3 Pr 3.35-3.57, 2 Pm 3.35
Tb  0.2500  0.5000  0.8330 (multiplicity 2)  3 Pm 3.34-3.57, 2 Pr 3.34
Pm  0.2500  0.5000  0.1667 (multiplicity 2)  5 Tb 3.34-3.57
Pr  0.0000  0.5000  0.5000 (multiplicity 2)  6 Pr 3.57-3.80, 6 Tb 3.78-3.80, 2 Pm 3.79
Pr  0.2500  0.0000  0.6672 (multiplicity 2)  5 Tb 3.34-3.57

## Properties
spin magnetization = 0.000 μB per formula unit
energy relative to the elements = 0.057 eV/atom


[4]
Material: CePu2SnC
Method: DFT, GGA-PBE
State: optimized geometry

Lattice parameters (Å, degrees): 4.8551 4.8551 5.0156 90.00 90.00 90.00
Closest atoms and distances in Å follow each position.
Space group P4/mmm (No. 123)
Unique sites:
Ce  0.0000  0.0000  0.0000 (multiplicity 1)  2 C 2.51
Pu  0.0000  0.5000  0.5000 (multiplicity 2)  2 C 2.43
Sn  0.5000  0.5000  0.0000 (multiplicity 1)  4 Ce 3.43, 8 Pu 3.49
C  0.0000  0.0000  0.5000 (multiplicity 1)  4 Pu 2.43, 2 Ce 2.51

## Properties
spin magnetization = 11.536 μB per formula unit
energy relative to the elements = -0.330 eV/atom